VASP calculation (PBE) on a geometry-optimized FeTePd6 structure. Values from VASP.

Structure (Quantum ESPRESSO input):
```
&SYSTEM
  ibrav = 0, nat = 8, ntyp = 3
/
ATOMIC_SPECIES
Pd 106.42 Pd.upf
Te 127.60 Te.upf
Fe 55.84 Fe.upf
ATOMIC_POSITIONS crystal
Pd 0.557 0.745 0.760
Pd 0.255 0.062 0.125
Pd 0.938 0.443 0.364
Pd 0.745 0.938 0.875
Pd 0.062 0.557 0.636
Pd 0.443 0.255 0.240
Te 0.000 0.000 0.000
Fe 0.500 0.500 0.500
CELL_PARAMETERS angstrom
7.443 0.037 0.038
3.699 5.977 -0.149
3.699 1.925 2.972
```

size of the total moment = 0.52 μB/atom
space-group type = No. 148
distance to the lowest polymorph of the same formula = 93 meV per atom
ΔE_f (raw) = -5 kJ/mol of atoms

VASP calculation (PBE) on a geometry-optimized FeTe2Pd structure. Values from VASP.

Structure (Quantum ESPRESSO input):
```
&SYSTEM
  ibrav = 0, nat = 4, ntyp = 3
/
ATOMIC_SPECIES
Te 127.60 Te.upf
Pd 106.42 Pd.upf
Fe 55.84 Fe.upf
ATOMIC_POSITIONS crystal
Te 0.395 0.395 0.395
Te 0.605 0.605 0.605
Pd 0.500 0.500 0.500
Fe 0.000 0.000 0.000
CELL_PARAMETERS angstrom
-5.841 -0.264 6.087
-3.026 1.188 7.789
-5.190 3.261 5.802
```

size of the total moment = 0.39 μB/atom
space-group type = No. 166
ΔE_f (raw) = 7 kJ/mol of atoms

VASP calculation (PBE) on a geometry-optimized FeTePd structure. Values from VASP.

Structure (Quantum ESPRESSO input):
```
&SYSTEM
  ibrav = 0, nat = 12, ntyp = 3
/
ATOMIC_SPECIES
Pd 106.42 Pd.upf
Te 127.60 Te.upf
Fe 55.84 Fe.upf
ATOMIC_POSITIONS crystal
Pd 0.500 0.624 0.811
Pd 0.000 0.624 0.311
Pd 0.000 0.376 0.689
Pd 0.500 0.376 0.189
Te 0.000 0.757 0.878
Te 0.500 0.757 0.378
Te 0.000 0.243 0.122
Te 0.500 0.243 0.622
Fe 0.649 0.000 0.850
Fe 0.851 0.000 0.350
Fe 0.351 0.000 0.150
Fe 0.149 0.000 0.650
CELL_PARAMETERS angstrom
5.427 0.000 0.000
0.000 7.501 0.677
0.000 -2.428 4.886
```

size of the total moment = 0.69 μB/atom
space-group type = No. 64
ΔE_f (raw) = 1 kJ/mol of atoms

VASP calculation (PBE) on a geometry-optimized FeTe3Pd12 structure. Values from VASP.

Structure (Quantum ESPRESSO input):
```
&SYSTEM
  ibrav = 0, nat = 16, ntyp = 3
/
ATOMIC_SPECIES
Te 127.60 Te.upf
Pd 106.42 Pd.upf
Fe 55.84 Fe.upf
ATOMIC_POSITIONS crystal
Te 0.000 0.000 0.500
Te 0.000 0.000 0.239
Te 0.000 0.000 0.761
Pd 0.500 0.500 0.246
Pd 0.500 0.000 0.114
Pd 0.000 0.500 0.886
Pd 0.500 0.500 0.000
Pd 0.000 0.500 0.627
Pd 0.000 0.500 0.114
Pd 0.500 0.500 0.500
Pd 0.500 0.000 0.627
Pd 0.000 0.500 0.373
Pd 0.500 0.500 0.754
Pd 0.500 0.000 0.886
Pd 0.500 0.000 0.373
Fe 0.000 0.000 0.000
CELL_PARAMETERS angstrom
4.045 0.000 0.000
0.000 4.045 0.000
0.000 0.000 16.157
```

size of the total moment = 0.24 μB/atom
space-group type = No. 123
ΔE_f (raw) = -15 kJ/mol of atoms

VASP calculation (PBE) on a geometry-optimized FeTe3Pd structure. Values from VASP.

Structure (Quantum ESPRESSO input):
```
&SYSTEM
  ibrav = 0, nat = 5, ntyp = 3
/
ATOMIC_SPECIES
Pd 106.42 Pd.upf
Te 127.60 Te.upf
Fe 55.84 Fe.upf
ATOMIC_POSITIONS crystal
Pd 0.500 0.500 0.500
Te 0.000 0.500 0.000
Te 0.000 0.000 0.500
Te 0.500 0.000 0.000
Fe 0.000 0.000 0.000
CELL_PARAMETERS angstrom
-3.939 -2.728 1.329
0.922 -3.150 -3.734
2.890 -2.712 3.002
```

size of the total moment = 0.00 μB/atom
space-group type = No. 221
distance to the lowest polymorph of the same formula = 0 meV per atom
ΔE_f (raw) = 60 kJ/mol of atoms

VASP calculation (PBE) on a geometry-optimized FeTePd6 structure. Values from VASP.

Structure (Quantum ESPRESSO input):
```
&SYSTEM
  ibrav = 0, nat = 8, ntyp = 3
/
ATOMIC_SPECIES
Fe 55.84 Fe.upf
Te 127.60 Te.upf
Pd 106.42 Pd.upf
ATOMIC_POSITIONS crystal
Fe 0.000 0.000 0.500
Te 0.000 0.000 0.000
Pd 0.000 0.500 0.735
Pd 0.500 0.000 0.265
Pd 0.500 0.500 0.500
Pd 0.500 0.000 0.735
Pd 0.500 0.500 0.000
Pd 0.000 0.500 0.265
CELL_PARAMETERS angstrom
-3.182 0.070 -2.412
0.161 -3.977 -0.329
-4.808 -0.718 6.322
```

size of the total moment = 0.52 μB/atom
space-group type = No. 123
distance to the lowest polymorph of the same formula = 0 meV per atom
ΔE_f (raw) = -14 kJ/mol of atoms

VASP calculation (PBE) on a geometry-optimized FeTe2Pd structure. Values from VASP.

Structure (Quantum ESPRESSO input):
```
&SYSTEM
  ibrav = 0, nat = 8, ntyp = 3
/
ATOMIC_SPECIES
Pd 106.42 Pd.upf
Te 127.60 Te.upf
Fe 55.84 Fe.upf
ATOMIC_POSITIONS crystal
Pd 0.750 0.250 0.500
Pd 0.000 0.000 0.000
Te 0.875 0.860 0.750
Te 0.375 0.390 0.750
Te 0.610 0.125 0.250
Te 0.140 0.625 0.250
Fe 0.250 0.750 0.500
Fe 0.500 0.500 0.000
CELL_PARAMETERS angstrom
6.025 0.000 0.000
0.000 6.025 0.000
3.013 3.013 5.882
```

size of the total moment = 0.69 μB/atom
space-group type = No. 122
ΔE_f (raw) = 2 kJ/mol of atoms

VASP calculation (PBE) on a geometry-optimized Fe4TePd15 structure. Values from VASP.

Structure (Quantum ESPRESSO input):
```
&SYSTEM
  ibrav = 0, nat = 20, ntyp = 3
/
ATOMIC_SPECIES
Pd 106.42 Pd.upf
Fe 55.84 Fe.upf
Te 127.60 Te.upf
ATOMIC_POSITIONS crystal
Pd 0.500 0.500 0.403
Pd 0.000 0.500 0.110
Pd 0.500 0.500 0.597
Pd 0.000 0.500 0.500
Pd 0.500 0.000 0.110
Pd 0.500 0.000 0.890
Pd 0.500 0.000 0.500
Pd 0.000 0.500 0.305
Pd 0.000 0.500 0.890
Pd 0.500 0.500 0.207
Pd 0.500 0.500 0.793
Pd 0.000 0.500 0.695
Pd 0.500 0.500 0.000
Pd 0.500 0.000 0.695
Pd 0.500 0.000 0.305
Fe 0.000 0.000 0.208
Fe 0.000 0.000 0.792
Fe 0.000 0.000 0.599
Fe 0.000 0.000 0.401
Te 0.000 0.000 0.000
CELL_PARAMETERS angstrom
-2.688 -1.296 2.574
2.435 -2.904 1.080
7.658 11.564 13.824
```

size of the total moment = 0.01 μB/atom
space-group type = No. 123
ΔE_f (raw) = -10 kJ/mol of atoms

VASP calculation (PBE) on a geometry-optimized FeTe6Pd2 structure. Values from VASP.

Structure (Quantum ESPRESSO input):
```
&SYSTEM
  ibrav = 0, nat = 9, ntyp = 3
/
ATOMIC_SPECIES
Te 127.60 Te.upf
Fe 55.84 Fe.upf
Pd 106.42 Pd.upf
ATOMIC_POSITIONS crystal
Te 0.934 0.868 0.621
Te 0.066 0.132 0.379
Te 0.287 0.574 0.316
Te 0.397 0.794 0.033
Te 0.603 0.206 0.967
Te 0.713 0.426 0.684
Fe 0.000 0.000 0.500
Pd 0.336 0.671 0.170
Pd 0.664 0.329 0.830
CELL_PARAMETERS angstrom
-3.756 0.891 0.931
0.481 0.178 -6.698
0.556 -9.647 11.469
```

size of the total moment = 0.08 μB/atom
space-group type = No. 12
distance to the lowest polymorph of the same formula = 0 meV per atom
ΔE_f (raw) = -22 kJ/mol of atoms

VASP calculation (PBE) on a geometry-optimized TiFeTePd2 structure. Values from VASP.

Structure (Quantum ESPRESSO input):
```
&SYSTEM
  ibrav = 0, nat = 5, ntyp = 4
/
ATOMIC_SPECIES
Ti 47.87 Ti.upf
Pd 106.42 Pd.upf
Fe 55.84 Fe.upf
Te 127.60 Te.upf
ATOMIC_POSITIONS crystal
Ti 0.000 0.500 0.000
Pd 0.000 0.000 0.500
Pd 0.500 0.000 0.000
Fe 0.500 0.500 0.500
Te 0.000 0.000 0.000
CELL_PARAMETERS angstrom
4.890 0.000 0.000
0.000 5.066 0.000
0.000 0.000 4.890
```

size of the total moment = 0.43 μB/atom
space-group type = No. 123
ΔE_f (raw) = 78 kJ/mol of atoms

VASP calculation (PBE) on a geometry-optimized TlFeTePd2 structure. Values from VASP.

Structure (Quantum ESPRESSO input):
```
&SYSTEM
  ibrav = 0, nat = 5, ntyp = 4
/
ATOMIC_SPECIES
Fe 55.84 Fe.upf
Te 127.60 Te.upf
Pd 106.42 Pd.upf
Tl 204.38 Tl.upf
ATOMIC_POSITIONS crystal
Fe 0.000 0.500 0.000
Te 0.000 0.000 0.000
Pd 0.500 0.000 0.000
Pd 0.000 0.000 0.500
Tl 0.500 0.500 0.500
CELL_PARAMETERS angstrom
-2.325 4.340 1.075
-3.485 -1.063 -3.250
-2.655 -2.315 3.604
```

size of the total moment = 0.61 μB/atom
space-group type = No. 123
ΔE_f (raw) = 38 kJ/mol of atoms

VASP calculation (PBE) on a geometry-optimized FeTe2PdW structure. Values from VASP.

Structure (Quantum ESPRESSO input):
```
&SYSTEM
  ibrav = 0, nat = 5, ntyp = 4
/
ATOMIC_SPECIES
Te 127.60 Te.upf
Pd 106.42 Pd.upf
W 183.84 W.upf
Fe 55.84 Fe.upf
ATOMIC_POSITIONS crystal
Te 0.500 0.000 0.000
Te 0.000 0.000 0.500
Pd 0.500 0.500 0.500
W 0.000 0.500 0.000
Fe 0.000 0.000 0.000
CELL_PARAMETERS angstrom
-3.649 -1.976 -2.539
-0.233 -3.405 2.984
-3.207 2.532 2.639
```

size of the total moment = 0.17 μB/atom
space-group type = No. 123
ΔE_f (raw) = 108 kJ/mol of atoms